# Cu4H2I5 (GGA-PBE, relaxed)
# - V: 27.18 A^3/atom
# - DFT total energy: -2.79 eV per atom
# - Relative energy among the computed polymorphs: 0.613 eV/f.u.
data_Cu4H2I5
_cell_length_a 4.2427
_cell_length_b 8.5577
_cell_length_c 8.8196
_cell_angle_alpha 97.21
_cell_angle_beta 101.51
_cell_angle_gamma 104.25
_symmetry_space_group_name_H-M 'P -1'
_symmetry_Int_Tables_number 2
_symmetry_space_group_name_Hall '-P 1'
loop_
_atom_site_label
_atom_site_type_symbol
_atom_site_fract_x
_atom_site_fract_y
_atom_site_fract_z
_atom_site_occupancy
Cu1 Cu 0.1732 0.2307 0.0601 1
Cu2 Cu 0.3183 0.5217 0.2493 1
H1 H 0.1134 0.4072 0.0830 1
I1 I 0.0945 0.2972 0.7699 1
I2 I 0.3251 0.2680 0.3710 1
I3 I 0.5000 0.0000 0.0000 1